No. 1
# La2Pr4SmSc (PBE-GGA, optimized geometry)
data_La2Pr4SmSc
_chemical_formula_sum 'La2 Pr4 Sm1 Sc1'
_cell_length_a 5.1391
_cell_length_b 5.1665
_cell_length_c 10.3875
_cell_angle_alpha 90.00
_cell_angle_beta 90.00
_cell_angle_gamma 90.00
_space_group_name_H-M_alt 'P m m m'
_space_group_IT_number 47
loop_
_space_group_symop_operation_xyz
'x,y,z'
'-x,-y,-z'
'-x,-y,z'
'x,y,-z'
'x,-y,-z'
'-x,y,z'
'-x,y,-z'
'x,-y,z'
loop_
_atom_site_label
_atom_site_fract_x
_atom_site_fract_y
_atom_site_fract_z
_atom_site_occupancy
La1 0.0000 0.0000 0.0000 1
La2 0.5000 0.5000 0.5000 1
Pr1 0.0000 0.5000 0.2441 1
Pr2 0.5000 0.0000 0.2448 1
Sm1 0.0000 0.0000 0.5000 1
Sc1 0.5000 0.5000 0.0000 1
# Calculated formation energy ... 0.82 kcal/mol of atoms

***

No. 2
# LiAcAl2 (PBE-GGA, optimized geometry)
data_LiAcAl2
_chemical_formula_sum 'Li4 Ac4 Al8'
_cell_length_a 7.2672
_cell_length_b 4.7086
_cell_length_c 11.2737
_cell_angle_alpha 90.00
_cell_angle_beta 90.00
_cell_angle_gamma 90.00
_space_group_name_H-M_alt 'P n m a'
_space_group_IT_number 62
loop_
_space_group_symop_operation_xyz
'x,y,z'
'-x,-y,-z'
'-x+1/2,-y,z+1/2'
'x+1/2,y,-z+1/2'
'x+1/2,-y+1/2,-z+1/2'
'-x+1/2,y+1/2,z+1/2'
'-x,y+1/2,-z'
'x,-y+1/2,z'
loop_
_atom_site_label
_atom_site_fract_x
_atom_site_fract_y
_atom_site_fract_z
_atom_site_occupancy
Li1 0.0543 0.2500 0.1057 1
Ac1 0.2376 0.7500 0.3365 1
Al1 0.0705 0.7500 0.6351 1
Al2 0.2132 0.2500 0.5438 1
# Calculated formation energy ... -6.52 kcal/mol of atoms

***

Number 1: E_tot -4.97 eV per atom. Number 2: E_tot -3.66 eV per atom.